## Np2Tl3SnS6 (PBE-GGA)

Data for a relaxed Np2Tl3SnS6 crystal.

Cell lengths 7.1273, 12.3044, 7.7845 Å; angles 90.00, 107.52, 90.00 degrees
Last column: nearest neighbours and their distance in Å.
Space group C2/m (No. 12)
Symmetry-distinct sites (fractional):
Np (0.0000, 0.1672, 0.0000) x4  6 S 2.72-2.74
Tl (0.0000, 0.0000, 0.5000) x2  6 S 3.18-3.31
Tl (0.0000, 0.3383, 0.5000) x4  6 S 3.19-3.31
Sn (0.0000, 0.5000, 0.0000) x2  6 S 2.90-2.92
S (0.2112, 0.0000, 0.1939) x4  2 Np 2.72, 1 Sn 2.90
S (0.2437, 0.3230, 0.2000) x8  2 Np 2.74, 1 Sn 2.92

Calculated values
Uncorrected formation energy, eV/atom: -0.8616
DOS(E_F), states/eV per cell: 38.561